Below is an optimized crystal structure of LaNdCuIr, with properties calculated at the GGA-PBE level.

Cell and atoms, written as CIF:
```
data_LaNdCuIr
_symmetry_space_group_name_H-M 'P 1'
_symmetry_Int_Tables_number 1
_symmetry_space_group_name_Hall 'P 1'
_cell_length_a 4.383
_cell_length_b 5.827
_cell_length_c 5.827
_cell_angle_alpha 40.47
_cell_angle_beta 90.00
_cell_angle_gamma 90.00
loop_
_atom_site_label
_atom_site_type_symbol
_atom_site_fract_x
_atom_site_fract_y
_atom_site_fract_z
_atom_site_occupancy
La1 La 0.000 0.000 0.000 1
Nd1 Nd 0.500 0.274 0.274 1
Cu1 Cu 0.000 0.710 0.710 1
Ir1 Ir 0.500 0.559 0.559 1
```

## Properties
ΔH_f (0 K): -475 meV per atom
SG: Amm2, No. 38
E above lowest polymorph: 0.0 meV/atom